Arrangement i

First-principles (meta-GGA SCAN) data for Re3W at its PBEsol-relaxed geometry, as listed in Alexandria.

a = 2.763 Å, b = 3.909 Å, c = 5.539 Å
α = 90.00°, β = 90.00°, γ = 90.00°
Fractional coordinates of all 4 atoms:
1 Re 0.000 0.000 0.000
2 Re 0.500 0.500 0.245
3 Re 0.500 0.500 0.755
4 W 0.000 0.000 0.500

Summary:
As for the size of the total moment: 0.00 μB per formula unit.



Arrangement ii

First-principles (meta-GGA SCAN) data for Re3W at its PBEsol-relaxed geometry, as listed in Alexandria.

a = 9.192 Å, b = 9.192 Å, c = 9.192 Å
α = 17.29°, β = 17.29°, γ = 17.29°
Fractional coordinates of all 4 atoms:
1 Re 0.000 0.000 0.000
2 Re 0.252 0.252 0.252
3 Re 0.748 0.748 0.748
4 W 0.500 0.500 0.500

Summary:
As for the size of the total moment: 0.00 μB per formula unit.



Q: What are the energies relative to the best structure? A: arrangement i 0; arrangement ii 20, in meV/atom.